(1)
Ba2Sc2Sb2S: optimized geometry, PBE.

Properties
raw formation energy: -1223 meV/atom

a b c (Å): 9.554 9.554 9.554
angles (deg): 150.07 150.07 42.84
Element x y z (fractional)
Ba (0.174, 0.174, 0.000)
Ba (0.826, 0.826, 0.000)
Sc (0.000, 0.500, 0.500)
Sc (0.500, 0.000, 0.500)
Sb (0.386, 0.386, 0.000)
Sb (0.614, 0.614, 0.000)
S (0.000, 0.000, 0.000)


(2)
ScOs: optimized geometry, PBE.

a b c (Å): 9.729 9.729 9.729
angles (deg): 17.19 17.19 17.19
Element x y z (fractional)
Sc (0.117, 0.117, 0.117)
Sc (0.883, 0.883, 0.883)
Os (0.369, 0.369, 0.369)
Os (0.631, 0.631, 0.631)


no.,total energy (Ry/atom),magnetic moment (Bohr magnetons per cell)
1,-0.3932,0.8
2,-0.6270,0.5